1.
The following is a DFT calculation (GGA-PBE) of a relaxed Li2PbCl crystal.

POSCAR file:
```
Li2PbCl
1.0
0.000 3.593 3.593
3.593 0.000 3.593
3.593 3.593 0.000
Li Pb Cl
2 1 1
direct
0.250 0.250 0.250
0.750 0.750 0.750
0.000 0.000 0.000
0.500 0.500 0.500
```

Computed properties:
Energy: -2.616 eV per atom
Total moment: 0.30 μB per atom

---

2.
The following is a DFT calculation (GGA-PBE) of a relaxed RbNa2PaCl8 crystal.

POSCAR file:
```
RbNa2PaCl8
1.0
6.783 0.000 0.000
0.673 6.775 0.000
1.191 1.122 9.529
Rb Na Pa Cl
1 2 1 8
direct
0.000 0.000 0.000
0.450 0.449 0.189
0.550 0.551 0.811
0.000 0.000 0.500
0.191 0.797 0.691
0.201 0.805 0.312
0.260 0.255 0.460
0.318 0.313 0.979
0.682 0.687 0.021
0.740 0.745 0.540
0.799 0.195 0.688
0.809 0.203 0.309
```

Computed properties:
Energy: -4.138 eV per atom
Total moment: 0.00 μB per atom

---

3.
The following is a DFT calculation (GGA-PBE) of a relaxed Nd2YMg4 crystal.

POSCAR file:
```
Nd2YMg4
1.0
-2.796 2.796 8.183
2.796 -2.796 8.183
2.796 2.796 -8.183
Nd Y Mg
2 1 4
direct
0.107 0.107 0.000
0.893 0.893 0.000
0.500 0.500 0.000
0.000 0.500 0.500
0.315 0.315 0.000
0.500 0.000 0.500
0.685 0.685 0.000
```

Computed properties:
Total moment: 0.00 μB per atom
DFT formation energy: 0.52 eV per atom

---

4.
The following is a DFT calculation (GGA-PBE) of a relaxed CrCuTcW crystal.

POSCAR file:
```
CrCuTcW
1.0
0.000 3.038 3.038
3.038 0.000 3.038
3.038 3.038 0.000
Cr Cu Tc W
1 1 1 1
direct
0.000 0.000 0.000
0.250 0.250 0.250
0.500 0.500 0.500
0.750 0.750 0.750
```

Computed properties:
Total moment: 0.51 μB per atom
DFT formation energy: 0.25 eV per atom

---

5.
The following is a DFT calculation (GGA-PBE) of a relaxed La2PmAg2 crystal.

POSCAR file:
```
La2PmAg2
1.0
3.789 0.000 0.000
0.000 5.473 0.000
-1.891 0.000 13.985
La Pm Ag
4 2 4
direct
0.046 0.250 0.095
0.235 0.250 0.469
0.765 0.750 0.531
0.954 0.750 0.905
0.145 0.750 0.291
0.855 0.250 0.709
0.358 0.750 0.717
0.450 0.250 0.898
0.550 0.750 0.102
0.642 0.250 0.283
```

Computed properties:
Total moment: 0.00 μB per atom
DFT formation energy: -0.18 eV per atom

---

6.
The following is a DFT calculation (GGA-PBE) of a relaxed Tb3Dy3Hg2 crystal.

POSCAR file:
```
Tb3Dy3Hg2
1.0
2.586 -5.857 0.000
2.586 5.857 0.000
0.000 0.000 15.732
Tb Dy Hg
6 6 4
direct
0.040 0.960 0.608
0.040 0.960 0.892
0.281 0.719 0.750
0.719 0.281 0.250
0.960 0.040 0.108
0.960 0.040 0.392
0.357 0.643 0.532
0.357 0.643 0.968
0.431 0.569 0.250
0.569 0.431 0.750
0.643 0.357 0.032
0.643 0.357 0.468
0.226 0.774 0.129
0.226 0.774 0.371
0.774 0.226 0.629
0.774 0.226 0.871
```

Computed properties:
Total moment: 0.00 μB per atom
DFT formation energy: -0.16 eV per atom